(1)
ZrPd2Cl | GGA-PBE | optimized geometry

Lattice parameters (Å, degrees): 4.6937 4.6937 4.6937 60.00 60.00 60.00
With the nearest neighbours (Å) after each atom.
Positions (direct):
Zr1 0.5000 0.5000 0.5000  8 Pd 2.87
Cl1 0.0000 0.0000 0.0000  8 Pd 2.87
Pd1 0.7500 0.7500 0.7500  4 Zr 2.87, 4 Cl 2.87
Pd2 0.2500 0.2500 0.2500  4 Zr 2.87, 4 Cl 2.87

calculated volume	18.28	A^3/atom
offset from the most stable computed form	239.6	meV/atom
formation energy (no corrections)	-0.40	eV per formula unit
energy	-5.294	eV/atom
size of the total moment	0.00	μB per cell

---

(2)
Zr3PdCl | GGA-PBE | optimized geometry

Lattice parameters (Å, degrees): 4.7440 4.7440 4.7440 90.00 90.00 90.00
With the nearest neighbours (Å) after each atom.
Positions (direct):
Pd1 0.5000 0.5000 0.5000  12 Zr 3.35
Zr1 0.0000 0.0000 0.5000  2 Cl 2.37
Zr2 0.5000 0.0000 0.0000  2 Cl 2.37
Zr3 0.0000 0.5000 0.0000  2 Cl 2.37
Cl1 0.0000 0.0000 0.0000  6 Zr 2.37

calculated volume	21.35	A^3/atom
offset from the most stable computed form	0.0	meV/atom
formation energy (no corrections)	-0.13	eV per formula unit
energy	-6.563	eV/atom
size of the total moment	0.00	μB per cell

---

(3)
ZrPdCl6 | GGA-PBE | optimized geometry

Lattice parameters (Å, degrees): 7.5952 7.7786 6.7074 62.42 63.51 43.30
With the nearest neighbours (Å) after each atom.
Positions (direct):
Zr1 0.5000 0.5000 0.5000  6 Cl 2.39-2.57
Cl1 0.6989 0.1182 0.8401  1 Pd 2.33, 1 Zr 2.56
Cl2 0.6531 0.1890 0.2978  1 Pd 2.34, 1 Zr 2.57
Cl3 0.8758 0.4617 0.3376  1 Zr 2.39
Cl4 0.3469 0.8110 0.7022  1 Pd 2.34, 1 Zr 2.57
Cl5 0.1242 0.5383 0.6624  1 Zr 2.39
Cl6 0.3011 0.8818 0.1599  1 Pd 2.33, 1 Zr 2.56
Pd1 0.0000 0.0000 0.0000  4 Cl 2.33-2.34

calculated volume	29.62	A^3/atom
formation energy (no corrections)	-9.67	eV per formula unit
energy	-4.311	eV/atom
size of the total moment	0.13	μB per cell

---

(4)
ZrPdCl3 | GGA-PBE | optimized geometry

Lattice parameters (Å, degrees): 5.0116 5.0116 5.0116 90.00 90.00 90.00
With the nearest neighbours (Å) after each atom.
Positions (direct):
Cl1 0.5000 0.0000 0.0000  2 Zr 2.51
Cl2 0.0000 0.0000 0.5000  2 Zr 2.51
Cl3 0.0000 0.5000 0.0000  2 Zr 2.51
Zr1 0.0000 0.0000 0.0000  6 Cl 2.51
Pd1 0.5000 0.5000 0.5000  12 Cl 3.54

calculated volume	25.17	A^3/atom
offset from the most stable computed form	0.0	meV/atom
formation energy (no corrections)	-3.26	eV per formula unit
energy	-4.509	eV/atom
size of the total moment	0.00	μB per cell

---

(5)
Zr2Pd2Cl | GGA-PBE | optimized geometry

Lattice parameters (Å, degrees): 7.4659 7.4659 3.5264 90.00 90.00 90.00
With the nearest neighbours (Å) after each atom.
Positions (direct):
Zr1 0.8312 0.6688 0.0000  6 Pd 2.77-2.85, 2 Cl 2.78
Zr2 0.6688 0.1688 0.0000  6 Pd 2.77-2.85, 2 Cl 2.78
Zr3 0.3312 0.8312 0.0000  6 Pd 2.77-2.85, 2 Cl 2.78
Zr4 0.1688 0.3312 0.0000  6 Pd 2.77-2.85, 2 Cl 2.78
Cl1 0.5000 0.5000 0.0000  4 Zr 2.78
Cl2 0.0000 0.0000 0.0000  4 Zr 2.78
Pd1 0.8717 0.3717 0.5000  1 Pd 2.71, 6 Zr 2.77-2.85
Pd2 0.3717 0.1283 0.5000  1 Pd 2.71, 6 Zr 2.77-2.85
Pd3 0.6283 0.8717 0.5000  1 Pd 2.71, 6 Zr 2.77-2.85
Pd4 0.1283 0.6283 0.5000  1 Pd 2.71, 6 Zr 2.77-2.85

calculated volume	19.66	A^3/atom
formation energy (no corrections)	-3.09	eV per formula unit
energy	-6.484	eV/atom
size of the total moment	0.00	μB per cell

---

(6)
ZrPd2Cl | GGA-PBE | optimized geometry

Lattice parameters (Å, degrees): 7.4989 7.4989 5.9411 50.87 50.87 90.00
With the nearest neighbours (Å) after each atom.
Positions (direct):
Cl1 0.5000 0.5000 0.0000  2 Zr 2.68, 4 Pd 2.73
Cl2 0.2500 0.7500 0.5000  2 Zr 2.68, 4 Pd 2.73
Zr1 0.0000 0.0000 0.0000  2 Cl 2.68, 4 Pd 2.74
Zr2 0.7500 0.2500 0.5000  2 Cl 2.68, 4 Pd 2.74
Pd1 0.3750 0.3755 0.7500  2 Pd 2.68, 2 Cl 2.73, 2 Zr 2.74
Pd2 0.8750 0.8745 0.7500  2 Pd 2.68, 2 Cl 2.73, 2 Zr 2.74
Pd3 0.6245 0.1250 0.2500  2 Pd 2.68, 2 Cl 2.73, 2 Zr 2.74
Pd4 0.1255 0.6250 0.2500  2 Pd 2.68, 2 Cl 2.73, 2 Zr 2.74

calculated volume	18.83	A^3/atom
offset from the most stable computed form	0.0	meV/atom
formation energy (no corrections)	-1.35	eV per formula unit
energy	-5.534	eV/atom
size of the total moment	0.00	μB per cell

---

(7)
PmCl3 | GGA-PBE | optimized geometry

Lattice parameters (Å, degrees): 7.2981 7.2981 6.9904 99.70 99.70 119.85
With the nearest neighbours (Å) after each atom.
Positions (direct):
Cl1 0.5747 0.9603 0.2323  2 Pm 2.74
Cl2 0.4253 0.0397 0.7677  2 Pm 2.74
Cl3 0.8140 0.8140 0.7636  2 Pm 2.73
Cl4 0.9603 0.5747 0.2323  2 Pm 2.74
Cl5 0.1860 0.1860 0.2364  2 Pm 2.73
Cl6 0.0397 0.4253 0.7677  2 Pm 2.74
Pm1 0.8338 0.1662 0.0000  6 Cl 2.73-2.74
Pm2 0.1662 0.8338 0.0000  6 Cl 2.73-2.74

calculated volume	38.02	A^3/atom
formation energy (no corrections)	-9.07	eV per formula unit
energy	-4.839	eV/atom
size of the total moment	0.00	μB per cell

---

(8)
PmCl | GGA-PBE | optimized geometry

Lattice parameters (Å, degrees): 3.5291 5.6510 4.7893 90.00 90.01 90.00
With the nearest neighbours (Å) after each atom.
Positions (direct):
Cl1 0.2499 0.2500 0.3236  6 Pm 2.92-2.99
Cl2 0.7501 0.7500 0.6764  6 Pm 2.92-2.99
Pm1 0.2500 0.7500 0.1734  6 Cl 2.92-2.99
Pm2 0.7500 0.2500 0.8266  6 Cl 2.92-2.99

calculated volume	23.88	A^3/atom
offset from the most stable computed form	0.0	meV/atom
formation energy (no corrections)	-2.57	eV per formula unit
energy	-4.584	eV/atom
size of the total moment	0.00	μB per cell

---

(9)
PmCl4 | GGA-PBE | optimized geometry

Lattice parameters (Å, degrees): 7.4612 7.4612 8.3904 86.57 86.57 59.85
With the nearest neighbours (Å) after each atom.
Positions (direct):
Cl1 0.9382 0.9382 0.4350  1 Cl 2.00
Cl2 0.5082 0.5082 0.7977  2 Pm 2.73-2.74
Cl3 0.4918 0.4918 0.2023  2 Pm 2.73-2.74
Cl4 0.4951 0.9904 0.2021  2 Pm 2.74
Cl5 0.0096 0.5049 0.7979  2 Pm 2.74
Cl6 0.5049 0.0096 0.7979  2 Pm 2.74
Cl7 0.9904 0.4951 0.2021  2 Pm 2.74
Cl8 0.0618 0.0618 0.5650  1 Cl 2.00
Pm1 0.3339 0.3339 0.0011  6 Cl 2.73-2.74
Pm2 0.6661 0.6661 0.9989  6 Cl 2.73-2.74

calculated volume	40.29	A^3/atom
offset from the most stable computed form	0.0	meV/atom
formation energy (no corrections)	-8.95	eV per formula unit
energy	-4.217	eV/atom
size of the total moment	0.14	μB per cell

---

(10)
PmCl4 | GGA-PBE | optimized geometry

Lattice parameters (Å, degrees): 5.4493 5.4493 5.4493 90.00 90.00 90.00
With the nearest neighbours (Å) after each atom.
Positions (direct):
Pm1 0.5000 0.5000 0.5000  6 Cl 2.72
Cl1 0.5000 0.5000 0.0000  2 Pm 2.72
Cl2 0.5000 0.0000 0.5000  2 Pm 2.72
Cl3 0.0000 0.5000 0.5000  2 Pm 2.72
Cl4 0.0000 0.0000 0.0000  12 Cl 3.85

calculated volume	32.36	A^3/atom
offset from the most stable computed form	292.6	meV/atom
formation energy (no corrections)	-7.48	eV per formula unit
energy	-3.924	eV/atom
size of the total moment	1.00	μB per cell

---

(11)
PmCl3 | GGA-PBE | optimized geometry

Lattice parameters (Å, degrees): 10.2854 10.2854 3.7386 90.00 90.00 120.00
With the nearest neighbours (Å) after each atom.
Positions (direct):
Cl1 0.2205 0.4409 0.2500  2 Pm 2.75
Cl2 0.5591 0.7795 0.2500  2 Pm 2.75
Cl3 0.7795 0.5591 0.7500  2 Pm 2.75
Cl4 0.2205 0.7795 0.2500  2 Pm 2.75
Cl5 0.4409 0.2205 0.7500  2 Pm 2.75
Cl6 0.7795 0.2205 0.7500  2 Pm 2.75
Pm1 0.3333 0.6667 0.7500  6 Cl 2.75
Pm2 0.6667 0.3333 0.2500  6 Cl 2.75

calculated volume	42.82	A^3/atom
formation energy (no corrections)	-8.82	eV per formula unit
energy	-4.779	eV/atom
size of the total moment	0.00	μB per cell

---

(12)
PmPrCl4 | GGA-PBE | optimized geometry

Lattice parameters (Å, degrees): 5.5887 5.5887 6.8092 114.23 114.23 90.00
With the nearest neighbours (Å) after each atom.
Positions (direct):
Cl1 0.9887 0.4887 0.9774  2 Pm 2.80, 1 Pr 2.90
Cl2 0.7574 0.7574 0.5148  2 Pr 2.80, 1 Pm 2.85
Cl3 0.5113 0.0113 0.0226  2 Pm 2.80, 1 Pr 2.90
Cl4 0.2426 0.2426 0.4852  2 Pr 2.80, 1 Pm 2.85
Pr1 0.2500 0.7500 0.5000  6 Cl 2.80-2.90
Pm1 0.5000 0.5000 0.0000  6 Cl 2.80-2.85

calculated volume	28.87	A^3/atom
formation energy (no corrections)	-11.71	eV per formula unit
energy	-4.770	eV/atom
size of the total moment	0.00	μB per cell

---

(13)
PmPrCl | GGA-PBE | optimized geometry

Lattice parameters (Å, degrees): 7.3362 3.8023 3.8023 120.00 90.00 90.00
With the nearest neighbours (Å) after each atom.
Positions (direct):
Pm1 0.6974 0.6667 0.3333  3 Cl 3.09
Cl1 0.9941 0.0000 0.0000  3 Pm 3.09, 3 Pr 3.18
Pr1 0.3085 0.3333 0.6667  3 Cl 3.18

calculated volume	30.62	A^3/atom
offset from the most stable computed form	0.0	meV/atom
formation energy (no corrections)	-2.71	eV per formula unit
energy	-4.695	eV/atom
size of the total moment	0.48	μB per cell

---

(14)
PmPrCl | GGA-PBE | optimized geometry

Lattice parameters (Å, degrees): 3.8095 7.9731 14.9549 121.41 97.32 90.00
With the nearest neighbours (Å) after each atom.
Positions (direct):
Pr1 0.6275 0.1145 0.2551  3 Cl 2.90-2.96
Pr2 0.4122 0.4346 0.8244  4 Cl 2.85-3.00
Pr3 0.3725 0.8855 0.7449  3 Cl 2.90-2.96
Pr4 0.5878 0.5654 0.1756  4 Cl 2.85-3.00
Pm1 0.8000 0.0196 0.5999  5 Pm 3.40-3.71, 4 Pr 3.44-3.75
Pm2 0.2000 0.9804 0.4001  5 Pm 3.40-3.71, 4 Pr 3.44-3.75
Pm3 0.7923 0.4333 0.5847  1 Cl 3.28, 1 Pm 3.42, 2 Pr 3.64
Pm4 0.2077 0.5667 0.4153  1 Cl 3.28, 1 Pm 3.42, 2 Pr 3.64
Cl1 0.0789 0.2593 0.1579  4 Pr 2.96-3.00, 1 Pm 3.28
Cl2 0.4738 0.2550 0.9477  3 Pr 2.85-2.96
Cl3 0.9211 0.7407 0.8421  4 Pr 2.96-3.00, 1 Pm 3.28
Cl4 0.5262 0.7450 0.0523  3 Pr 2.85-2.96

calculated volume	31.94	A^3/atom
offset from the most stable computed form	24.0	meV/atom
formation energy (no corrections)	-2.64	eV per formula unit
energy	-4.671	eV/atom
size of the total moment	0.00	μB per cell

---

(15)
PmPr2Cl8 | GGA-PBE | optimized geometry

Lattice parameters (Å, degrees): 5.5062 7.5989 7.5989 111.55 100.06 100.06
With the nearest neighbours (Å) after each atom.
Positions (direct):
Cl1 0.5000 0.2282 0.7718  1 Pm 2.87, 2 Pr 2.96
Cl2 0.5000 0.7718 0.2282  1 Pm 2.87, 2 Pr 2.96
Cl3 0.9238 0.9321 0.6784  2 Pr 2.85-2.86, 2 Cl 3.17-3.19
Cl4 0.9238 0.6784 0.9321  2 Pr 2.85-2.86, 2 Cl 3.17-3.19
Cl5 0.6734 0.3595 0.3595  1 Pm 2.92, 2 Pr 2.95
Cl6 0.0762 0.0679 0.3216  2 Pr 2.85-2.86, 2 Cl 3.17-3.19
Cl7 0.0762 0.3216 0.0679  2 Pr 2.85-2.86, 2 Cl 3.17-3.19
Cl8 0.3266 0.6405 0.6405  1 Pm 2.92, 2 Pr 2.95
Pr1 0.0000 0.3155 0.6845  8 Cl 2.85-2.96
Pr2 0.0000 0.6845 0.3155  8 Cl 2.85-2.96
Pm1 0.5000 0.0000 0.0000  4 Cl 2.87-2.92

calculated volume	25.55	A^3/atom
formation energy (no corrections)	-22.57	eV per formula unit
energy	-4.696	eV/atom
size of the total moment	1.06	μB per cell

---

(16)
PmPrCl2 | GGA-PBE | optimized geometry

Lattice parameters (Å, degrees): 3.6419 3.6419 10.0411 79.55 79.55 60.00
With the nearest neighbours (Å) after each atom.
Positions (direct):
Pm1 0.5000 0.5000 0.5000  6 Cl 2.91
Cl1 0.0981 0.0981 0.7056  1 Pr 2.89, 3 Pm 2.91
Cl2 0.9019 0.9019 0.2944  1 Pr 2.89, 3 Pm 2.91
Pr1 0.0000 0.0000 0.0000  2 Cl 2.89

calculated volume	28.20	A^3/atom
offset from the most stable computed form	38.6	meV/atom
formation energy (no corrections)	-5.35	eV per formula unit
energy	-4.644	eV/atom
size of the total moment	0.32	μB per cell

---

(17)
PmPrCl2 | GGA-PBE | optimized geometry

Lattice parameters (Å, degrees): 3.5985 3.5985 9.1317 78.64 78.64 60.00
With the nearest neighbours (Å) after each atom.
Positions (direct):
Pm1 0.6660 0.6660 0.0020  6 Cl 3.00-3.02
Pr1 0.5010 0.5010 0.4971  6 Cl 3.05-3.09
Cl1 0.0816 0.0816 0.7551  3 Pm 3.02, 3 Pr 3.09
Cl2 0.2514 0.2514 0.2458  3 Pm 3.00, 3 Pr 3.05

calculated volume	24.93	A^3/atom
offset from the most stable computed form	0.0	meV/atom
formation energy (no corrections)	-5.51	eV per formula unit
energy	-4.682	eV/atom
size of the total moment	0.00	μB per cell

---

(18)
Pm3PrCl | GGA-PBE | optimized geometry

Lattice parameters (Å, degrees): 5.4672 5.4672 5.4672 90.00 90.00 90.00
With the nearest neighbours (Å) after each atom.
Positions (direct):
Pr1 0.5000 0.5000 0.5000  12 Pm 3.87
Pm1 0.5000 0.0000 0.0000  2 Cl 2.73
Pm2 0.0000 0.0000 0.5000  2 Cl 2.73
Pm3 0.0000 0.5000 0.0000  2 Cl 2.73
Cl1 0.0000 0.0000 0.0000  6 Pm 2.73

calculated volume	32.68	A^3/atom
formation energy (no corrections)	-2.55	eV per formula unit
energy	-4.686	eV/atom
size of the total moment	0.00	μB per cell

---

(19)
PmPrCl3 | GGA-PBE | optimized geometry

Lattice parameters (Å, degrees): 4.0444 8.1839 10.0498 71.14 78.39 75.69
With the nearest neighbours (Å) after each atom.
Positions (direct):
Pr1 0.8590 0.9884 0.2936  5 Cl 2.82-2.96
Pr2 0.1410 0.0116 0.7064  5 Cl 2.82-2.96
Cl1 0.7724 0.3396 0.1156  1 Pr 2.83, 2 Pm 2.88
Cl2 0.9522 0.3514 0.7443  2 Pm 2.82, 1 Pr 2.82
Cl3 0.2276 0.6604 0.8844  1 Pr 2.83, 2 Pm 2.88
Cl4 0.6566 0.1926 0.4941  3 Pr 2.89-2.96
Cl5 0.3434 0.8074 0.5059  3 Pr 2.89-2.96
Cl6 0.0478 0.6486 0.2557  2 Pm 2.82, 1 Pr 2.82
Pm1 0.4096 0.2315 0.9493  4 Cl 2.82-2.88
Pm2 0.5904 0.7685 0.0507  4 Cl 2.82-2.88

calculated volume	30.23	A^3/atom
formation energy (no corrections)	-9.24	eV per formula unit
energy	-4.861	eV/atom
size of the total moment	0.00	μB per cell

---

(20)
PmPrRhCl | GGA-PBE | optimized geometry

Lattice parameters (Å, degrees): 4.0636 4.0631 8.0847 90.01 104.55 120.01
With the nearest neighbours (Å) after each atom.
Positions (direct):
Pr1 0.5028 0.1491 0.6673  3 Rh 2.84
Pm1 0.1055 0.9507 0.0717  3 Rh 2.80
Cl1 0.9628 0.3797 0.3572  3 Pm 3.22, 3 Pr 3.35-3.36
Rh1 0.3068 0.5512 0.8735  3 Pm 2.80, 3 Pr 2.84

calculated volume	27.66	A^3/atom
formation energy (no corrections)	-4.60	eV per formula unit
energy	-5.832	eV/atom
size of the total moment	0.00	μB per cell